[1]
VASP calculation (PBE-GGA) on crystalline AcLaNi2 at its relaxed geometry.

a = 4.1404 Å, b = 4.1404 Å, c = 7.4304 Å
α = 73.82°, β = 73.82°, γ = 60.00°
With the nearest neighbours (Å) after each atom.
Fractional positions:
Ni  0.0906  0.0906  0.7283  3 La 2.85, 3 Ac 3.01
Ni  0.2418  0.2418  0.2746  3 La 2.90, 3 Ac 3.13, 1 Ni 3.19
La  0.4971  0.4971  0.5086  6 Ni 2.85-2.90
Ac  0.6705  0.6705  0.9884  6 Ni 3.01-3.13

Values from the calculation:
SG: No. 160
Excess energy over the best structure of this formula in the dataset (eV/atom): 0.1399
Formation energy (eV/atom): -0.151



[2]
VASP calculation (PBE-GGA) on crystalline AcLaNi2 at its relaxed geometry.

a = 3.6261 Å, b = 3.6261 Å, c = 7.1748 Å
α = 90.00°, β = 90.00°, γ = 90.00°
With the nearest neighbours (Å) after each atom.
Fractional positions:
Ni  0.0000  0.0000  0.2274  4 La 3.04, 4 Ac 3.22, 1 Ni 3.26
Ni  0.0000  0.0000  0.7726  4 La 3.04, 4 Ac 3.22, 1 Ni 3.26
Ac  0.5000  0.5000  0.5000  8 Ni 3.22, 2 La 3.59
La  0.5000  0.5000  0.0000  8 Ni 3.04

Values from the calculation:
SG: No. 123
Excess energy over the best structure of this formula in the dataset (eV/atom): 0.1139
Formation energy (eV/atom): -0.177



[3]
VASP calculation (PBE-GGA) on crystalline AcLaNi2 at its relaxed geometry.

a = 5.1067 Å, b = 5.1067 Å, c = 5.1067 Å
α = 60.00°, β = 60.00°, γ = 60.00°
With the nearest neighbours (Å) after each atom.
Fractional positions:
Ni  0.7500  0.7500  0.7500  4 La 3.13, 4 Ac 3.13
La  0.0000  0.0000  0.0000  8 Ni 3.13
Ac  0.5000  0.5000  0.5000  8 Ni 3.13
Ni  0.2500  0.2500  0.2500  4 Ac 3.13, 4 La 3.13

Values from the calculation:
SG: No. 225
Excess energy over the best structure of this formula in the dataset (eV/atom): 0.1149
Formation energy (eV/atom): -0.176



[4]
VASP calculation (PBE-GGA) on crystalline Ac2LaNi9 at its relaxed geometry.

a = 5.1202 Å, b = 5.1202 Å, c = 9.0103 Å
α = 73.49°, β = 73.49°, γ = 60.00°
With the nearest neighbours (Å) after each atom.
Fractional positions:
Ni  0.5776  0.0804  0.7644  7 Ni 2.48-2.69
Ni  0.5776  0.5776  0.7644  7 Ni 2.48-2.69
Ni  0.9196  0.4224  0.2356  7 Ni 2.48-2.69
Ac  0.1359  0.1359  0.5923  9 Ni 2.95-3.06
Ni  0.4224  0.9196  0.2356  7 Ni 2.48-2.69
Ni  0.3325  0.3325  0.0026  6 Ni 2.48-2.50
Ni  0.0804  0.5776  0.7644  7 Ni 2.48-2.69
Ni  0.6675  0.6675  0.9974  6 Ni 2.48-2.50
La  0.0000  0.0000  0.0000  18 Ni 2.96-3.25
Ni  0.5000  0.5000  0.5000  6 Ni 2.69
Ni  0.4224  0.4224  0.2356  7 Ni 2.48-2.69
Ac  0.8641  0.8641  0.4077  9 Ni 2.95-3.06

Values from the calculation:
SG: No. 166
Formation energy (eV/atom): -0.233



[5]
VASP calculation (PBE-GGA) on crystalline AcLa2Ni6 at its relaxed geometry.

a = 4.0087 Å, b = 7.3153 Å, c = 7.3153 Å
α = 67.57°, β = 74.10°, γ = 74.10°
With the nearest neighbours (Å) after each atom.
Fractional positions:
La  0.1570  0.3430  0.3430  2 Ni 2.62
Ni  0.3116  0.9510  0.4257  3 Ni 2.33-2.46
La  0.8430  0.6570  0.6570  2 Ni 2.62
Ni  0.5000  0.6555  0.3445  3 Ni 2.33-2.53
Ni  0.6884  0.5743  0.0490  3 Ni 2.33-2.46
Ni  0.3116  0.4257  0.9510  3 Ni 2.33-2.46
Ni  0.5000  0.3445  0.6555  3 Ni 2.33-2.53
Ac  0.0000  0.0000  0.0000  12 Ni 3.45-3.52
Ni  0.6884  0.0490  0.5743  3 Ni 2.33-2.46

Values from the calculation:
SG: No. 71
Excess energy over the best structure of this formula in the dataset (eV/atom): 0.2129
Formation energy (eV/atom): -0.091



[6]
VASP calculation (PBE-GGA) on crystalline Ac2La2Ni at its relaxed geometry.

a = 7.7020 Å, b = 7.8019 Å, c = 7.1067 Å
α = 104.64°, β = 90.00°, γ = 119.58°
With the nearest neighbours (Å) after each atom.
Fractional positions:
Ac  0.2576  0.7309  0.9382  1 Ni 2.94
Ni  0.8235  0.0000  0.7500  4 La 2.75-3.03, 2 Ac 2.94
La  0.9959  0.7616  0.4974  2 Ni 2.75-3.03
La  0.0041  0.2384  0.5026  2 Ni 2.75-3.03
La  0.7657  0.7616  0.9974  2 Ni 2.75-3.03
Ni  0.1765  0.0000  0.2500  4 La 2.75-3.03, 2 Ac 2.94
Ac  0.4733  0.7309  0.4382  1 Ni 2.94
La  0.2343  0.2384  0.0026  2 Ni 2.75-3.03
Ac  0.7425  0.2691  0.0618  1 Ni 2.94
Ac  0.5267  0.2691  0.5618  1 Ni 2.94

Values from the calculation:
SG: No. 15
Formation energy (eV/atom): -0.068



Number 1: energy -5.3006 eV per atom. Number 2: energy -5.3266 eV per atom. Number 3: energy -5.3256 eV per atom. Number 4: energy -5.6640 eV per atom. Number 5: energy -5.4964 eV per atom. Number 6: energy -4.8389 eV per atom.